[1]
# Nb3AlIn

Crystalline Nb3AlIn at its relaxed geometry (GGA-PBE, Alexandria).

## Properties
Energy above the lowest structure with this stoichiometry: 0.000 eV/atom
ΔH_f (0 K): 0.89 eV/atom
Crystal system: cubic
D(E_F): 7.9 states/eV/cell

abc: 4.749 4.749 4.749
angles: 90.00 90.00 90.00
Space group Pm-3m (No. 221)
Inequivalent atoms, fractional coordinates:
Nb 0.000 0.000 0.500
Al 0.000 0.000 0.000
In 0.500 0.500 0.500

=====

[2]
# CdCoMo

Crystalline CdCoMo at its relaxed geometry (GGA-PBE, Alexandria).

## Properties
Energy above the lowest structure with this stoichiometry: 0.000 eV/atom
ΔH_f (0 K): 0.25 eV/atom
Crystal system: tetragonal
D(E_F): 6.6 states/eV/cell

abc: 2.843 2.843 11.465
angles: 90.00 90.00 90.00
Space group I4mm (No. 107)
Inequivalent atoms, fractional coordinates:
Cd 0.000 0.000 0.000
Co 0.000 0.000 0.672
Mo 0.000 0.000 0.299

=====

[3]
# Fe2WBr

Crystalline Fe2WBr at its relaxed geometry (GGA-PBE, Alexandria).

## Properties
Energy above the lowest structure with this stoichiometry: 0.107 eV/atom
Crystal system: tetragonal
D(E_F): 3.0 states/eV/cell

abc: 2.992 2.992 6.829
angles: 90.00 90.00 90.00
Space group P4mm (No. 99)
Inequivalent atoms, fractional coordinates:
Fe 0.000 0.000 0.000
Fe 0.500 0.500 0.198
W 0.000 0.000 0.414
Br 0.500 0.500 0.698

=====

[4]
# Tb2Nd5Tm12

Crystalline Tb2Nd5Tm12 at its relaxed geometry (GGA-PBE, Alexandria).

## Properties
Energy above the lowest structure with this stoichiometry: 0.000 eV/atom
ΔH_f (0 K): 0.02 eV/atom
Crystal system: triclinic
D(E_F): 26.8 states/eV/cell

abc: 6.139 9.385 11.197
angles: 90.07 100.67 108.91
Space group P-1 (No. 2)
Inequivalent atoms, fractional coordinates:
Tb 0.234 0.156 0.473
Nd 0.026 0.685 0.054
Nd 0.289 0.526 0.580
Nd 0.500 0.000 0.000
Tm 0.080 0.052 0.160
Tm 0.130 0.420 0.262
Tm 0.188 0.792 0.369
Tm 0.343 0.896 0.684
Tm 0.395 0.262 0.788
Tm 0.449 0.632 0.895

=====

[5]
# Ba2Be

Crystalline Ba2Be at its relaxed geometry (GGA-PBE, Alexandria).

## Properties
Energy above the lowest structure with this stoichiometry: 0.107 eV/atom
ΔH_f (0 K): 0.47 eV/atom
Crystal system: tetragonal
D(E_F): 3.6 states/eV/cell

abc: 5.670 5.670 3.889
angles: 90.00 90.00 90.00
Space group P4/mmm (No. 123)
Inequivalent atoms, fractional coordinates:
Ba 0.000 0.500 0.000
Be 0.000 0.000 0.500

=====

[6]
# PuSnTe2

Crystalline PuSnTe2 at its relaxed geometry (GGA-PBE, Alexandria).

## Properties
Crystal system: orthorhombic
D(E_F): 25.4 states/eV/cell

abc: 4.505 9.133 6.359
angles: 90.00 90.00 90.00
Space group Pmn2_1 (No. 31)
Inequivalent atoms, fractional coordinates:
Pu 0.000 0.126 0.000
Sn 0.000 0.629 0.002
Te 0.000 0.119 0.500
Te 0.000 0.627 0.501

=====

[7]
# Gd2InSb

Crystalline Gd2InSb at its relaxed geometry (GGA-PBE, Alexandria).

## Properties
Energy above the lowest structure with this stoichiometry: 0.043 eV/atom
Crystal system: trigonal
D(E_F): 10.7 states/eV/cell

abc: 4.1925 4.1925 24.2606
angles: 90.00 90.00 120.00
Space group R-3m (No. 166, hexagonal axes)
Inequivalent atoms, fractional coordinates:
Gd 0.0000 0.0000 0.2441
In 0.0000 0.0000 0.0000
Sb 0.0000 0.0000 0.5000

=====

[8]
# Tb4CdIr3

Crystalline Tb4CdIr3 at its relaxed geometry (GGA-PBE, Alexandria).

## Properties
ΔH_f (0 K): -0.68 eV/atom
Crystal system: trigonal
D(E_F): 7.6 states/eV/cell

abc: 4.9622 4.9622 24.3793
angles: 90.00 90.00 120.00
Space group R-3m (No. 166, hexagonal axes)
Inequivalent atoms, fractional coordinates:
Tb 0.0000 0.0000 0.1194
Tb 0.0000 0.0000 0.3704
Cd 0.0000 0.0000 0.5000
Ir 0.0000 0.0000 0.0000
Ir 0.0000 0.0000 0.2476

=====

Electronic total energy values (in eV/atom) by entry order: -6.445, -6.037, -7.310, -4.541, -2.059, -6.770, -9.431, -6.435.